No. 1
DFT (PBE) results for Pu2TlCd after structural relaxation.

Calculated values
DOS(E_F) = 3.147 states/eV/atom
E_form = -24 meV per atom
Space-group type = Fmmm, No. 69

Cell: 4.5199 4.5199 5.9131 Å, 112.38 112.38 90.21°
Each line ends with the local moment (μB).
Element x y z (fractional)
Tl  0.5000  0.5000  0.0000  -0.04
Cd  0.0000  0.0000  0.0000  -0.02
Pu  0.2500  0.7500  0.5000  5.54
Pu  0.7500  0.2500  0.5000  5.54

No. 2
DFT (PBE) results for TbEr5In4 after structural relaxation.

Calculated values
DOS(E_F) = 0.690 states/eV/atom
E_form = -363 meV per atom
Space-group type = P4/mmm, No. 123

Cell: 3.5455 3.5455 21.5833 Å, 90.00 90.00 90.00°
Element x y z (fractional)
In  0.0000  0.0000  0.2109
In  0.0000  0.0000  0.4034
In  0.0000  0.0000  0.7891
In  0.0000  0.0000  0.5966
Er  0.5000  0.5000  0.6932
Er  0.5000  0.5000  0.8852
Er  0.5000  0.5000  0.3068
Er  0.5000  0.5000  0.5000
Er  0.5000  0.5000  0.1148
Tb  0.0000  0.0000  0.0000

No. 3
DFT (PBE) results for In2SeBr after structural relaxation.

Calculated values
DOS(E_F) = 0.384 states/eV/atom
Formation energy without anion corrections = -319 meV per atom
Space-group type = C2/m, No. 12

Cell: 8.0166 5.3897 3.8331 Å, 83.92 70.38 128.63°
Element x y z (fractional)
In  0.5000  0.0000  0.5000
In  0.0000  0.0000  0.0000
Br  0.5000  0.5000  0.0000
Se  0.0000  0.5000  0.5000

No. 4
DFT (PBE) results for CaMgSc2O after structural relaxation.

Calculated values
DOS(E_F) = 1.005 states/eV/atom
Formation energy without anion corrections = -1122 meV per atom
Space-group type = P4/mmm, No. 123

Cell: 4.5152 4.5152 4.9546 Å, 90.00 90.00 90.00°
Element x y z (fractional)
Sc  0.5000  0.0000  0.0000
Sc  0.0000  0.5000  0.0000
O  0.0000  0.0000  0.0000
Mg  0.5000  0.5000  0.5000
Ca  0.0000  0.0000  0.5000

No. 5
DFT (PBE) results for Re2PbCl after structural relaxation.

Calculated values
DOS(E_F) = 0.669 states/eV/atom
Formation energy without anion corrections = 889 meV per atom
Space-group type = Imm2, No. 44

Cell: 6.5860 6.5860 6.5860 Å, 149.99 132.26 57.43°
Element x y z (fractional)
Cl  0.5726  0.5726  0.0000
Pb  0.2826  0.7826  0.5000
Re  0.8911  0.8911  0.0000
Re  0.7537  0.2537  0.5000

No. 6
DFT (PBE) results for PtRh2Br after structural relaxation.

Calculated values
DOS(E_F) = 1.163 states/eV/atom
Formation energy without anion corrections = 416 meV per atom
Space-group type = P4/mmm, No. 123

Cell: 3.1018 3.1018 6.8798 Å, 90.00 90.00 90.00°
Element x y z (fractional)
Rh  0.0000  0.0000  0.5241
Rh  0.0000  0.0000  0.9759
Pt  0.5000  0.5000  0.7500
Br  0.5000  0.5000  0.2500

No. 7
DFT (PBE) results for LiZn2FeTe after structural relaxation.

Calculated values
DOS(E_F) = 0.749 states/eV/atom
Formation energy without anion corrections = 829 meV per atom
Space-group type = P4/mmm, No. 123

Cell: 5.3883 4.9491 5.3883 Å, 90.00 90.00 90.00°
Each line ends with the local moment (μB).
Element x y z (fractional)
Te  0.0000  0.0000  0.0000  -0.01
Zn  0.0000  0.0000  0.5000  -0.01
Zn  0.5000  0.0000  0.0000  -0.02
Li  0.0000  0.5000  0.0000  -0.01
Fe  0.5000  0.5000  0.5000  3.27

No. 8
DFT (PBE) results for Na2HgGeS4 after structural relaxation.

Calculated values
Formation energy without anion corrections = -649 meV per atom
Space-group type = Pmn2_1, No. 31

Cell: 6.8265 7.7234 7.9511 Å, 90.00 90.00 90.00°
Element x y z (fractional)
S  0.8755  0.8963  0.0000
S  0.4043  0.6831  0.2723
S  0.9043  0.3169  0.7723
S  0.3755  0.1037  0.5000
S  0.3257  0.1598  0.0000
S  0.8257  0.8402  0.5000
S  0.9043  0.3169  0.2277
S  0.4043  0.6831  0.7277
Hg  0.9925  0.1361  0.5000
Hg  0.4925  0.8639  0.0000
Na  0.9996  0.6694  0.7573
Na  0.4996  0.3306  0.7427
Na  0.4996  0.3306  0.2573
Na  0.9996  0.6694  0.2427
Ge  0.4983  0.8370  0.5000
Ge  0.9983  0.1630  0.0000

No. 9
DFT (PBE) results for Ge2H3Pd8 after structural relaxation.

Calculated values
DOS(E_F) = 0.240 states/eV/atom
Calculated total energy = -63.90 eV/f.u.
Space-group type = C2/m, No. 12

Cell: 4.1809 7.9601 6.8090 Å, 125.77 105.12 90.00°
Element x y z (fractional)
Ge  0.5211  0.2618  0.5235
Ge  0.4789  0.7382  0.4765
H  0.0000  0.6627  0.0000
H  0.0000  0.3373  0.0000
H  0.5000  0.0000  0.0000
Pd  0.3769  0.8659  0.2124
Pd  0.1111  0.8818  0.7637
Pd  0.6231  0.1341  0.7876
Pd  0.8585  0.6020  0.2039
Pd  0.8889  0.1182  0.2363
Pd  0.1415  0.3980  0.7961
Pd  0.3769  0.3465  0.2124
Pd  0.6231  0.6535  0.7876

No. 10
DFT (PBE) results for Mg5Se after structural relaxation.

Calculated values
DOS(E_F) = 0.397 states/eV/atom
Formation energy without anion corrections = -207 meV per atom
Space-group type = Cm, No. 8

Cell: 6.5711 6.5711 6.3019 Å, 87.84 87.84 30.90°
Element x y z (fractional)
Mg  0.6905  0.6905  0.5790
Mg  0.0467  0.0467  0.0062
Mg  0.3636  0.3636  0.7918
Mg  0.0023  0.0023  0.4973
Mg  0.3412  0.3412  0.2741
Se  0.7224  0.7224  0.0183

No. 11
DFT (PBE) results for UTeOs after structural relaxation.

Calculated values
DOS(E_F) = 0.470 states/eV/atom
Formation energy without anion corrections = -166 meV per atom
Space-group type = P-1, No. 2

Cell: 3.9337 5.9608 27.7516 Å, 148.49 152.71 41.02°
Element x y z (fractional)
Te  0.9315  0.4510  0.8562
Te  0.0685  0.5490  0.1438
U  0.4714  0.4812  0.6174
U  0.5286  0.5188  0.3826
Os  0.3564  0.9343  0.3398
Os  0.6436  0.0657  0.6602

No. 12
DFT (PBE) results for Na2H2Au after structural relaxation.

Calculated values
DOS(E_F) = 0.190 states/eV/atom
Calculated total energy = -13.47 eV/f.u.
Space-group type = C2/m, No. 12

Cell: 5.1959 7.0497 6.0290 Å, 58.15 64.47 68.38°
Element x y z (fractional)
Na  0.3278  0.8028  0.5416
Na  0.9536  0.2785  0.8143
Na  0.6722  0.1972  0.4584
Na  0.0464  0.7215  0.1857
Au  0.3100  0.3101  0.0698
Au  0.6900  0.6899  0.9302
H  0.4377  0.3898  0.7348
H  0.1858  0.2197  0.4086
H  0.8142  0.7803  0.5914
H  0.5623  0.6102  0.2652

No. 13
DFT (PBE) results for EuPtAu after structural relaxation.

Calculated values
DOS(E_F) = 4.491 states/eV/atom
E_form = -713 meV per atom
Space-group type = P-6m2, No. 187

Cell: 3.8008 4.6251 4.6251 Å, 120.00 90.00 90.00°
Each line ends with the local moment (μB).
Element x y z (fractional)
Pt  0.1666  0.0000  0.0000  0.08
Eu  0.6667  0.6667  0.3333  -6.73
Au  0.1668  0.3333  0.6667  0.02

No. 14
DFT (PBE) results for NpSi2IrRu after structural relaxation.

Calculated values
DOS(E_F) = 2.810 states/eV/atom
Formation energy without anion corrections = -684 meV per atom
Space-group type = I-4m2, No. 119

Cell: 4.1032 4.1032 5.7307 Å, 110.98 110.98 90.00°
Each line ends with the local moment (μB).
Element x y z (fractional)
Ir  0.2500  0.7500  0.5000  -0.06
Np  0.0000  0.0000  0.0000  3.62
Si  0.6235  0.6235  0.2471  -0.01
Si  0.3765  0.3765  0.7529  -0.01
Ru  0.7500  0.2500  0.5000  -0.12

Number 1: M_tot 11.49 μB/cell. Number 2: M_tot 0.00 μB/cell. Number 3: M_tot 0.00 μB/cell. Number 4: M_tot 0.00 μB/cell. Number 5: M_tot 0.00 μB/cell. Number 6: M_tot 0.00 μB/cell. Number 7: M_tot 3.28 μB/cell. Number 8: M_tot 0.00 μB/cell. Number 9: M_tot 0.00 μB/cell. Number 10: M_tot 0.00 μB/cell. Number 11: M_tot 0.00 μB/cell. Number 12: M_tot 0.00 μB/cell. Number 13: M_tot 6.81 μB/cell. Number 14: M_tot 3.67 μB/cell.